(1)
Below is a geometry-optimized RbVBr2O structure, with properties calculated at the PBE+U level.

```
RbVBr2O
1.0
5.6383 0.0000 0.0000
0.0000 5.6383 0.0000
0.0000 0.0000 3.7692
Rb V Br O
1 1 2 1
Cartesian
0.0000 0.0000 0.0000
2.8192 2.8192 1.8846
0.0000 2.8192 1.8846
2.8192 0.0000 1.8846
2.8192 2.8192 0.0000
```

uncorrected energy: -0.343 Ry/atom

---

(2)
Below is a geometry-optimized Rb2WBr6O structure, with properties calculated at the PBE+U level.

```
Rb2WBr6O
1.0
-3.6831 3.6831 5.7288
3.6831 -3.6831 5.7288
3.6831 3.6831 -5.7288
Rb W Br O
2 1 6 1
Cartesian
3.6831 0.0000 2.8644
0.0000 3.6831 2.8644
0.0000 0.0000 0.0000
0.0000 0.0000 2.5737
1.8070 1.8070 0.0000
1.8761 -1.8761 5.7288
-1.8761 1.8761 5.7288
1.8761 1.8761 5.7288
0.0000 0.0000 8.8839
0.0000 0.0000 5.7288
```

uncorrected energy: -0.217 Ry/atom

---

Number 1: total magnetic moment 0.4000 μB/atom. Number 2: total magnetic moment 0.0000 μB/atom.